Density functional theory data (PBE) for crystalline CeZrSn2 at its relaxed geometry.

Results
* D(E_F): 1.48 states/eV/atom
* calculated formation energy: -1.7 eV per formula unit
* space-group type: P4/mmm (123)
* magnetization: 0.8 μB/f.u.

abc: 4.4397 4.7486 4.7486
angles: 90.00 90.00 90.00
Last column: nearest neighbours and their distance in Å.
Element x y z (fractional)
Ce: 0.5000 0.5000 0.5000  8 Sn 3.25, 4 Zr 3.36
Zr: 0.5000 0.0000 0.0000  8 Sn 3.25, 4 Ce 3.36
Sn: 0.0000 0.0000 0.5000  4 Zr 3.25, 4 Ce 3.25, 4 Sn 3.36
Sn: 0.0000 0.5000 0.0000  4 Zr 3.25, 4 Ce 3.25, 4 Sn 3.36

***

Density functional theory data (PBE) for crystalline CeZrSn at its relaxed geometry.

Results
* D(E_F): 2.32 states/eV/atom
* calculated formation energy: -1.2 eV per formula unit
* space-group type: Pnma (62)
* magnetization: 1.1 μB/f.u.

abc: 4.3466 9.5130 7.8570
angles: 90.00 90.00 90.00
Last column: nearest neighbours and their distance in Å.
Element x y z (fractional)
Ce: 0.7500 0.8313 0.9500  5 Sn 3.23-3.32, 2 Zr 3.51
Ce: 0.2500 0.3313 0.5500  5 Sn 3.23-3.32, 2 Zr 3.51
Ce: 0.7500 0.6687 0.4500  5 Sn 3.23-3.32, 2 Zr 3.51
Ce: 0.2500 0.1687 0.0500  5 Sn 3.23-3.32, 2 Zr 3.51
Zr: 0.2500 0.9447 0.6273  4 Sn 3.01-3.07, 2 Zr 3.14
Zr: 0.2500 0.5553 0.1273  4 Sn 3.01-3.07, 2 Zr 3.14
Zr: 0.7500 0.4447 0.8727  4 Sn 3.01-3.07, 2 Zr 3.14
Zr: 0.7500 0.0553 0.3727  4 Sn 3.01-3.07, 2 Zr 3.14
Sn: 0.2500 0.8613 0.2514  4 Zr 3.01-3.07, 5 Ce 3.23-3.32
Sn: 0.2500 0.6387 0.7514  4 Zr 3.01-3.07, 5 Ce 3.23-3.32
Sn: 0.7500 0.1387 0.7486  4 Zr 3.01-3.07, 5 Ce 3.23-3.32
Sn: 0.7500 0.3613 0.2486  4 Zr 3.01-3.07, 5 Ce 3.23-3.32

***

Number 1: final energy -6.06 eV per atom, calculated volume 25.03 Å³ per atom. Number 2: final energy -6.58 eV per atom, calculated volume 27.07 Å³ per atom.